# 1
VASP calculation (GGA-PBE) on crystalline Co2Ir2Ru at its relaxed geometry.

abc: 7.1350 7.1350 2.6835
angles: 90.00 90.00 90.00
Last column: nearest neighbours and their distance in Å.
Element x y z (fractional)
Ru 0.5000 0.5000 0.0000  2 Ru 2.68, 4 Ir 2.80, 8 Co 2.97
Ru 0.0000 0.0000 0.0000  2 Ru 2.68, 4 Ir 2.80, 8 Co 2.97
Ir 0.1302 0.3698 0.0000  6 Co 2.43-2.53, 3 Ir 2.63-2.68
Ir 0.8698 0.6302 0.0000  6 Co 2.43-2.53, 3 Ir 2.63-2.68
Ir 0.6302 0.1302 0.0000  6 Co 2.43-2.53, 3 Ir 2.63-2.68
Ir 0.3698 0.8698 0.0000  6 Co 2.43-2.53, 3 Ir 2.63-2.68
Co 0.3315 0.1685 0.5000  6 Ir 2.43-2.53, 2 Co 2.68
Co 0.6685 0.8315 0.5000  6 Ir 2.43-2.53, 2 Co 2.68
Co 0.1685 0.6685 0.5000  6 Ir 2.43-2.53, 2 Co 2.68
Co 0.8315 0.3315 0.5000  6 Ir 2.43-2.53, 2 Co 2.68

Final energy   -7.92 eV per atom
Offset from the most stable computed form   29.2 kJ per mole of atoms
N(E_F)   12.90 states/eV per cell
Crystal system   tetragonal
Formation enthalpy at 0 K   31.4 kJ/mol of atoms

# 2
VASP calculation (GGA-PBE) on crystalline Th2ZnNi4Sn3 at its relaxed geometry.

abc: 4.3993 4.3993 10.0156
angles: 90.00 90.00 90.00
Last column: nearest neighbours and their distance in Å.
Element x y z (fractional)
Ni 0.0000 0.0000 0.0000  4 Sn 2.55
Ni 0.5000 0.5000 0.0000  4 Sn 2.55
Ni 0.5000 0.0000 0.6230  3 Sn 2.48-2.52, 2 Zn 2.52
Ni 0.0000 0.5000 0.3770  3 Sn 2.48-2.52, 2 Zn 2.52
Th 0.5000 0.0000 0.2407  8 Ni 3.26-3.40, 6 Sn 3.30-3.40, 2 Zn 3.40
Th 0.0000 0.5000 0.7593  8 Ni 3.26-3.40, 6 Sn 3.30-3.40, 2 Zn 3.40
Sn 0.0000 0.0000 0.5000  4 Ni 2.52
Sn 0.5000 0.0000 0.8704  5 Ni 2.48-2.55
Sn 0.0000 0.5000 0.1296  5 Ni 2.48-2.55
Zn 0.5000 0.5000 0.5000  4 Ni 2.52

Final energy   -5.61 eV per atom
N(E_F)   7.43 states/eV per cell
Crystal system   tetragonal
Formation enthalpy at 0 K   -46.5 kJ/mol of atoms

# 3
VASP calculation (GGA-PBE) on crystalline KGdPb2 at its relaxed geometry.

abc: 4.1414 4.1414 8.0650
angles: 90.00 90.00 90.00
Last column: nearest neighbours and their distance in Å.
Element x y z (fractional)
Pb 0.0000 0.0000 0.8019  1 Pb 3.19, 4 Gd 3.34
Pb 0.0000 0.0000 0.1981  1 Pb 3.19, 4 Gd 3.34
K 0.5000 0.5000 0.5000  8 Pb 3.81, 2 Gd 4.03, 4 K 4.14
Gd 0.5000 0.5000 0.0000  8 Pb 3.34

Final energy   -5.97 eV per atom
Offset from the most stable computed form   0.0 kJ per mole of atoms
N(E_F)   2.41 states/eV per cell
Crystal system   tetragonal
Formation enthalpy at 0 K   -30.9 kJ/mol of atoms

# 4
VASP calculation (GGA-PBE) on crystalline RbFePOs2 at its relaxed geometry.

abc: 4.6697 4.6697 4.3922
angles: 90.00 90.00 90.00
Last column: nearest neighbours and their distance in Å.
Element x y z (fractional)
Fe 0.0000 0.0000 0.0000  2 P 2.20, 4 Os 2.33
P 0.0000 0.0000 0.5000  2 Fe 2.20
Os 0.5000 0.0000 0.0000  2 Fe 2.33
Os 0.0000 0.5000 0.0000  2 Fe 2.33
Rb 0.5000 0.5000 0.5000  8 Os 3.21, 4 P 3.30

Final energy   -5.85 eV per atom
N(E_F)   8.54 states/eV per cell
Crystal system   tetragonal
Formation enthalpy at 0 K   155.6 kJ/mol of atoms

# 5
VASP calculation (GGA-PBE) on crystalline LiCe3Zn8 at its relaxed geometry.

abc: 5.4563 5.4563 9.4106
angles: 73.15 73.15 60.00
Last column: nearest neighbours and their distance in Å.
Element x y z (fractional)
Zn 0.4371 0.9337 0.1921  6 Zn 2.68-2.75
Zn 0.4371 0.4371 0.1921  6 Zn 2.68-2.75
Zn 0.6873 0.6873 0.9380  6 Zn 2.74-2.75
Zn 0.9373 0.9373 0.6827  6 Zn 2.70-2.76
Zn 0.1879 0.1879 0.4363  6 Zn 2.68-2.70
Zn 0.9337 0.4371 0.1921  6 Zn 2.68-2.75
Zn 0.9373 0.4426 0.6827  6 Zn 2.70-2.76
Zn 0.4426 0.9373 0.6827  6 Zn 2.70-2.76
Ce 0.3755 0.3755 0.8735  12 Zn 3.20-3.24, 4 Ce 3.29-3.34
Ce 0.0007 0.0007 0.9979  12 Zn 3.19-3.23, 3 Ce 3.34, 1 Li 3.37
Ce 0.4993 0.4993 0.5021  12 Zn 3.16-3.20, 1 Ce 3.29, 3 Li 3.34
Li 0.8741 0.8741 0.3778  12 Zn 3.12-3.19, 4 Ce 3.34-3.37

Final energy   -2.72 eV per atom
N(E_F)   17.45 states/eV per cell
Crystal system   trigonal
Formation enthalpy at 0 K   -22.1 kJ/mol of atoms

# 6
VASP calculation (GGA-PBE) on crystalline BaRhCl2 at its relaxed geometry.

abc: 5.2576 5.2576 8.9506
angles: 72.92 72.92 90.00
Last column: nearest neighbours and their distance in Å.
Element x y z (fractional)
Cl 0.5400 0.1250 0.2500  2 Rh 2.57
Cl 0.2100 0.6250 0.2500  2 Rh 2.57
Cl 0.3750 0.4600 0.7500  2 Rh 2.57
Cl 0.8750 0.7900 0.7500  2 Rh 2.57
Ba 0.0000 0.0000 0.0000  4 Cl 3.00
Ba 0.7500 0.2500 0.5000  4 Cl 3.00
Rh 0.5000 0.5000 0.0000  4 Cl 2.57
Rh 0.2500 0.7500 0.5000  4 Cl 2.57

Final energy   -4.16 eV per atom
Offset from the most stable computed form   16.4 kJ per mole of atoms
N(E_F)   0.23 states/eV per cell
Crystal system   tetragonal
Formation energy without anion corrections   -0.915 eV per atom

Number 1: M_tot 4.23 μB per formula unit. Number 2: M_tot 0.00 μB per formula unit. Number 3: M_tot 7.28 μB per formula unit. Number 4: M_tot 0.42 μB per formula unit. Number 5: M_tot 2.06 μB per formula unit. Number 6: M_tot 1.00 μB per formula unit.